# 1
A plane-wave DFT calculation with PBEsol was carried out for crystalline KIn3Ru at its relaxed geometry.

```
KIn3Ru
1.0
5.547 0.000 0.000
0.000 5.547 0.000
0.000 0.000 5.547
In Ru K
3 1 1
direct
0.500 0.000 0.000 In
0.000 0.500 0.000 In
0.000 0.000 0.500 In
0.500 0.500 0.500 Ru
0.000 0.000 0.000 K
```

**Total moment**: 2.38 μB/f.u.
**E_form**: 1.9494 eV per atom
**Calculated density**: 4.7 g/cm³

=====

# 2
A plane-wave DFT calculation with PBEsol was carried out for crystalline BaCo2P at its relaxed geometry.

```
BaCo2P
1.0
-2.185 2.141 -0.261
-1.750 -1.999 -1.745
-3.041 -2.399 5.797
P Ba Co
1 1 2
direct
0.000 0.000 0.398 P
0.500 0.500 0.750 Ba
0.000 0.000 0.091 Co
0.500 0.500 0.260 Co
```

**Total moment**: 2.11 μB/f.u.
**E_form**: 0.1578 eV per atom
**Calculated density**: 7.0 g/cm³

=====

# 3
A plane-wave DFT calculation with PBEsol was carried out for crystalline TcOs2W at its relaxed geometry.

```
TcOs2W
1.0
4.359 0.000 0.000
2.179 3.775 0.000
2.179 1.258 3.559
Os W Tc
2 1 1
direct
0.750 0.750 0.750 Os
0.250 0.250 0.250 Os
0.500 0.500 0.500 W
0.000 0.000 0.000 Tc
```

**Total moment**: 0.00 μB/f.u.
**E_form**: 0.4859 eV per atom
**Calculated density**: 18.8 g/cm³

=====

# 4
A plane-wave DFT calculation with PBEsol was carried out for crystalline Be2GaBAu at its relaxed geometry.

```
Be2GaBAu
1.0
3.730 0.000 0.000
0.000 3.730 0.000
0.000 0.000 4.639
Be B Ga Au
2 1 1 1
direct
0.500 0.000 0.000 Be
0.000 0.500 0.000 Be
0.000 0.000 0.000 B
0.500 0.500 0.500 Ga
0.000 0.000 0.500 Au
```

**Total moment**: 0.00 μB/f.u.
**E_form**: 0.3217 eV per atom
**Calculated density**: 7.6 g/cm³

=====

# 5
A plane-wave DFT calculation with PBEsol was carried out for crystalline PdCI2O at its relaxed geometry.

```
PdCI2O
1.0
3.028 0.000 0.000
0.000 5.430 0.000
0.000 0.000 5.430
C Pd O I
1 1 1 2
direct
0.000 0.000 0.000 C
0.500 0.500 0.500 Pd
0.500 0.000 0.000 O
0.000 0.500 0.000 I
0.000 0.000 0.500 I
```

**Total moment**: 0.00 μB/f.u.
**ΔE_f (raw)**: 0.94 eV per atom
**Calculated density**: 7.2 g/cm³

=====

# 6
A plane-wave DFT calculation with PBEsol was carried out for crystalline ZnInTc2 at its relaxed geometry.

```
ZnInTc2
1.0
-1.288 1.264 -2.251
1.041 -4.381 -1.207
-4.345 -0.852 2.009
Zn Tc In
1 2 1
direct
0.505 0.010 0.504 Zn
0.253 0.507 0.768 Tc
0.994 0.988 0.966 Tc
0.748 0.495 0.263 In
```

**Total moment**: 0.00 μB/f.u.
**E_form**: 0.2618 eV per atom
**Calculated density**: 10.2 g/cm³

=====

# 7
A plane-wave DFT calculation with PBEsol was carried out for crystalline AgIr3 at its relaxed geometry.

```
AgIr3
1.0
-3.456 2.279 1.417
-1.694 -0.824 3.949
0.474 2.908 3.235
Ir Ag
3 1
direct
0.750 0.750 0.750 Ir
0.500 0.500 0.500 Ir
0.250 0.250 0.250 Ir
0.000 0.000 0.000 Ag
```

**Total moment**: 0.01 μB/f.u.
**E_form**: 0.6746 eV per atom
**Calculated density**: 19.2 g/cm³

=====

# 8
A plane-wave DFT calculation with PBEsol was carried out for crystalline CeCoRh at its relaxed geometry.

```
CeCoRh
1.0
-4.376 1.543 1.924
-1.420 -1.586 4.601
-0.034 3.446 3.718
Rh Co Ce
2 2 2
direct
0.500 0.500 0.500 Rh
0.500 0.000 0.000 Rh
0.500 0.000 0.500 Co
0.000 0.000 0.500 Co
0.882 0.368 0.868 Ce
0.118 0.632 0.132 Ce
```

**Total moment**: 0.00 μB/f.u.
**E_form**: -0.4769 eV per atom
**Calculated density**: 10.7 g/cm³

=====

# 9
A plane-wave DFT calculation with PBEsol was carried out for crystalline LaTlPb2 at its relaxed geometry.

```
LaTlPb2
1.0
5.512 0.000 0.000
2.756 4.773 0.000
2.756 1.591 4.500
La Pb Tl
1 2 1
direct
0.500 0.500 0.500 La
0.000 0.000 0.000 Pb
0.750 0.750 0.750 Pb
0.250 0.250 0.250 Tl
```

**Total moment**: 0.00 μB/f.u.
**E_form**: -0.2619 eV per atom
**Calculated density**: 10.6 g/cm³

=====

# 10
A plane-wave DFT calculation with PBEsol was carried out for crystalline Mn2PdCl at its relaxed geometry.

```
Mn2PdCl
1.0
4.447 0.000 0.000
2.223 3.851 0.000
2.223 1.284 3.631
Mn Pd Cl
2 1 1
direct
0.750 0.750 0.750 Mn
0.250 0.250 0.250 Mn
0.500 0.500 0.500 Pd
0.000 0.000 0.000 Cl
```

**Total moment**: 8.48 μB/f.u.
**ΔE_f (raw)**: 0.40 eV per atom
**Calculated density**: 6.7 g/cm³

=====

# 11
A plane-wave DFT calculation with PBEsol was carried out for crystalline Y2HgO4 at its relaxed geometry.

```
Y2HgO4
1.0
6.757 0.000 0.000
3.379 5.852 0.000
3.379 1.951 5.517
O Y Hg
8 4 2
direct
0.919 0.360 0.360 O
0.360 0.360 0.360 O
0.890 0.331 0.890 O
0.360 0.360 0.919 O
0.890 0.890 0.331 O
0.890 0.890 0.890 O
0.360 0.919 0.360 O
0.331 0.890 0.890 O
0.125 0.125 0.125 Y
0.125 0.125 0.625 Y
0.625 0.125 0.125 Y
0.125 0.625 0.125 Y
0.750 0.750 0.750 Hg
0.500 0.500 0.500 Hg
```

**Total moment**: 0.00 μB/f.u.
**ΔE_f (raw)**: -2.58 eV per atom
**Calculated density**: 6.7 g/cm³

=====

# 12
A plane-wave DFT calculation with PBEsol was carried out for crystalline Li2MgAu at its relaxed geometry.

```
Li2MgAu
1.0
3.158 0.000 0.000
0.000 3.600 0.000
0.000 0.000 5.797
Au Li Mg
1 2 1
direct
0.500 0.500 0.500 Au
0.000 0.000 0.286 Li
0.000 0.000 0.714 Li
0.500 0.500 0.000 Mg
```

**Total moment**: 0.00 μB/f.u.
**E_form**: -0.3216 eV per atom
**Calculated density**: 5.9 g/cm³

=====

# 13
A plane-wave DFT calculation with PBEsol was carried out for crystalline OsO2 at its relaxed geometry.

```
OsO2
1.0
-2.064 2.958 3.283
-4.219 -0.242 -2.435
-1.314 -3.870 2.662
O Os
8 4
direct
0.849 0.151 0.651 O
0.849 0.349 0.151 O
0.151 0.651 0.849 O
0.349 0.349 0.349 O
0.349 0.151 0.849 O
0.651 0.849 0.151 O
0.151 0.849 0.349 O
0.651 0.651 0.651 O
0.500 0.000 0.500 Os
0.000 0.500 0.500 Os
0.000 0.000 0.000 Os
0.500 0.500 0.000 Os
```

**Total moment**: 0.00 μB/f.u.
**ΔE_f (raw)**: -0.86 eV per atom
**Calculated density**: 12.7 g/cm³

=====

# 14
A plane-wave DFT calculation with PBEsol was carried out for crystalline AlFePb2 at its relaxed geometry.

```
AlFePb2
1.0
-2.481 -1.842 -0.883
1.200 0.203 -2.974
4.537 -6.766 1.369
Pb Fe Al
2 1 1
direct
0.000 0.000 0.215 Pb
0.000 0.000 0.785 Pb
0.500 0.500 0.000 Fe
0.500 0.500 0.500 Al
```

**Total moment**: 2.27 μB/f.u.
**E_form**: 0.4986 eV per atom
**Calculated density**: 9.7 g/cm³

=====

# 15
A plane-wave DFT calculation with PBEsol was carried out for crystalline ZnNi2O4 at its relaxed geometry.

```
ZnNi2O4
1.0
5.754 0.000 0.000
-2.877 4.994 -0.227
0.000 -3.094 4.851
Ni Zn O
4 2 8
direct
0.625 0.250 0.875 Ni
0.625 0.250 0.375 Ni
0.625 0.750 0.375 Ni
0.125 0.750 0.375 Ni
0.000 0.000 0.000 Zn
0.250 0.500 0.750 Zn
0.389 0.778 0.166 O
0.861 0.722 0.584 O
0.861 0.722 0.138 O
0.416 0.278 0.139 O
0.388 0.222 0.611 O
0.389 0.778 0.612 O
0.862 0.278 0.139 O
0.834 0.222 0.611 O
```

**Total moment**: 1.99 μB/f.u.
**ΔE_f (raw)**: -0.99 eV per atom
**Calculated density**: 6.1 g/cm³

=====

# 16
A plane-wave DFT calculation with PBEsol was carried out for crystalline SrGa4 at its relaxed geometry.

```
SrGa4
1.0
4.386 0.000 0.000
0.000 4.386 0.000
-2.193 -2.193 5.319
Ga Sr
4 1
direct
0.383 0.383 0.766 Ga
0.750 0.250 0.500 Ga
0.250 0.750 0.500 Ga
0.617 0.617 0.234 Ga
0.000 0.000 0.000 Sr
```

**Total moment**: 0.00 μB/f.u.
**E_form**: -0.4554 eV per atom
**Calculated density**: 5.9 g/cm³

=====

# 17
A plane-wave DFT calculation with PBEsol was carried out for crystalline AgIrSe at its relaxed geometry.

```
AgIrSe
1.0
2.839 0.000 0.000
1.420 2.473 0.000
1.420 0.000 7.111
Ir Ag Se
1 1 1
direct
0.326 0.000 0.348 Ir
0.992 0.000 0.015 Ag
0.682 0.000 0.637 Se
```

**Total moment**: 0.00 μB/f.u.
**ΔE_f (raw)**: 0.43 eV per atom
**Calculated density**: 12.6 g/cm³

=====

# 18
A plane-wave DFT calculation with PBEsol was carried out for crystalline Rb2EuCuCl6 at its relaxed geometry.

```
Rb2EuCuCl6
1.0
-3.040 5.921 2.870
-1.110 0.400 7.151
3.975 4.520 4.038
Cu Cl Eu Rb
1 6 1 2
direct
0.500 0.500 0.500 Cu
0.737 0.263 0.263 Cl
0.263 0.737 0.737 Cl
0.737 0.737 0.263 Cl
0.737 0.263 0.737 Cl
0.263 0.263 0.737 Cl
0.263 0.737 0.263 Cl
0.000 0.000 0.000 Eu
0.250 0.250 0.250 Rb
0.750 0.750 0.750 Rb
```

**Total moment**: 6.00 μB/f.u.
**ΔE_f (raw)**: -1.69 eV per atom
**Calculated density**: 3.7 g/cm³

=====

# 19
A plane-wave DFT calculation with PBEsol was carried out for crystalline TlWCl2 at its relaxed geometry.

```
TlWCl2
1.0
3.007 0.000 0.000
0.000 3.007 0.000
0.000 0.000 9.693
Cl W Tl
2 1 1
direct
0.000 0.000 0.650 Cl
0.000 0.000 0.350 Cl
0.500 0.500 0.500 W
0.500 0.500 0.000 Tl
```

**Total moment**: 0.00 μB/f.u.
**ΔE_f (raw)**: 0.35 eV per atom
**Calculated density**: 8.7 g/cm³

=====

# 20
A plane-wave DFT calculation with PBEsol was carried out for crystalline CoNi at its relaxed geometry.

```
CoNi
1.0
-0.176 -3.156 1.475
3.465 -0.009 0.393
-1.988 3.034 2.128
Co Ni
2 2
direct
0.875 0.625 0.750 Co
0.125 0.375 0.250 Co
0.375 0.125 0.750 Ni
0.625 0.875 0.250 Ni
```

**Total moment**: 2.28 μB/f.u.
**E_form**: 0.0047 eV per atom
**Calculated density**: 9.4 g/cm³

=====

no.,E (eV per atom)
1,-2.101
2,-5.696
3,-11.890
4,-4.134
5,-3.939
6,-6.513
7,-7.521
8,-7.967
9,-4.255
10,-6.473
11,-7.614
12,-2.715
13,-8.427
14,-4.765
15,-5.975
16,-3.495
17,-5.235
18,-4.585
19,-4.765
20,-6.943